{"formula": "Na2VSiCO7", "functional": "PBE with a Hubbard U", "state": "relaxed", "lattice_angstrom": [[-1.114, 1.695, 5.020], [5.948, -2.080, 2.022], [3.600, 7.941, -2.422]], "species": ["O", "C", "O", "O", "Si", "C", "V", "O", "Si", "O", "O", "Na", "O", "V", "O", "Na", "O", "O", "Na", "Na", "O", "O", "O", "O"], "frac_coords": [[0.696, 0.952, 0.838], [0.774, 0.250, 0.584], [0.696, 0.548, 0.838], [0.187, 0.750, 0.552], [0.766, 0.750, 0.933], [0.226, 0.750, 0.416], [0.706, 0.250, 0.858], [0.554, 0.250, 0.638], [0.234, 0.250, 0.067], [0.624, 0.750, 0.091], [0.954, 0.250, 0.689], [0.732, 0.501, 0.281], [0.304, 0.048, 0.162], [0.294, 0.750, 0.142], [0.068, 0.750, 0.983], [0.268, 0.001, 0.719], [0.813, 0.250, 0.448], [0.932, 0.250, 0.017], [0.732, 0.999, 0.281], [0.268, 0.499, 0.719], [0.304, 0.452, 0.162], [0.376, 0.250, 0.909], [0.446, 0.750, 0.362], [0.046, 0.750, 0.311]], "vol_a3_per_atom": 13.49, "m_tot_mub_per_fu": 1.0, "n_ef_per_ev_atom": 0.000, "dft_energy_ev_per_atom": -7.000}